(1)
# ErTiNiPd

Crystalline ErTiNiPd at its relaxed geometry (PBE, Alexandria via LeMat-Bulk).

abc: 4.618 4.618 4.618
angles: 60.00 60.00 60.00
Fractional positions:
Ni1 0.250 0.250 0.250
Ti1 0.500 0.500 0.500
Pd1 0.750 0.750 0.750
Er1 0.000 0.000 0.000

Values from the calculation:
N(E_F), states/eV/f.u.: 2.971
DFT formation energy, eV per atom: -0.423
ρ, Mg/m³: 9.07
Space group: F-43m (216)
Total DFT energy (no corrections), eV for the cell shown: -25.126
V, Å³/atom: 17.4

---

(2)
# ErTlNiPd

Crystalline ErTlNiPd at its relaxed geometry (PBE, Alexandria via LeMat-Bulk).

abc: 4.729 4.729 4.729
angles: 60.00 60.00 60.00
Fractional positions:
Ni1 0.250 0.250 0.250
Tl1 0.500 0.500 0.500
Pd1 0.750 0.750 0.750
Er1 0.000 0.000 0.000

Values from the calculation:
N(E_F), states/eV/f.u.: 2.899
DFT formation energy, eV per atom: -0.416
ρ, Mg/m³: 11.92
Space group: F-43m (216)
Total DFT energy (no corrections), eV for the cell shown: -19.566
V, Å³/atom: 18.7

---

(3)
# Pm2ErNi

Crystalline Pm2ErNi at its relaxed geometry (PBE, Alexandria via LeMat-Bulk).

abc: 3.637 3.637 10.645
angles: 80.16 80.16 60.00
Fractional positions:
Ni1 0.500 0.500 0.500
Pm1 0.110 0.110 0.670
Pm2 0.890 0.890 0.330
Er1 0.000 0.000 0.000

Values from the calculation:
N(E_F), states/eV/f.u.: 5.342
DFT formation energy, eV per atom: 0.136
ρ, Mg/m³: 7.17
Space group: R-3m (166)
Total DFT energy (no corrections), eV for the cell shown: -19.303
V, Å³/atom: 29.9

---

(4)
# PmEr3Ni

Crystalline PmEr3Ni at its relaxed geometry (PBE, Alexandria via LeMat-Bulk).

abc: 5.854 7.426 7.426
angles: 120.00 90.00 90.00
Fractional positions:
Pm1 0.750 0.667 0.334
Pm2 0.250 0.333 0.666
Er1 0.750 0.647 0.824
Er2 0.250 0.823 0.647
Er3 0.250 0.353 0.176
Er4 0.750 0.177 0.353
Er5 0.250 0.823 0.176
Er6 0.750 0.177 0.824
Ni1 0.000 0.000 0.000
Ni2 0.500 0.000 0.000

Values from the calculation:
N(E_F), states/eV/f.u.: 5.310
DFT formation energy, eV per atom: -0.110
ρ, Mg/m³: 8.38
Space group: P6_3/mmc (194)
Total DFT energy (no corrections), eV for the cell shown: -49.544
V, Å³/atom: 28.0

---

(5)
# PmErNi2

Crystalline PmErNi2 at its relaxed geometry (PBE, Alexandria via LeMat-Bulk).

abc: 3.770 4.242 5.462
angles: 90.00 110.21 90.00
Fractional positions:
Pm1 0.442 0.500 0.422
Er1 0.719 0.000 0.977
Ni1 0.156 0.500 0.852
Ni2 0.014 0.000 0.567

Values from the calculation:
N(E_F), states/eV/f.u.: 2.497
DFT formation energy, eV per atom: -0.412
ρ, Mg/m³: 8.70
Space group: Amm2 (38)
Total DFT energy (no corrections), eV for the cell shown: -22.524
V, Å³/atom: 20.5

---

(6)
# Pm2ErNi

Crystalline Pm2ErNi at its relaxed geometry (PBE, Alexandria via LeMat-Bulk).

abc: 3.544 3.544 8.603
angles: 90.00 90.00 90.00
Fractional positions:
Ni1 0.500 0.500 0.000
Pm1 0.000 0.000 0.807
Pm2 0.000 0.000 0.193
Er1 0.500 0.500 0.500

Values from the calculation:
N(E_F), states/eV/f.u.: 6.762
DFT formation energy, eV per atom: -0.074
ρ, Mg/m³: 7.93
Space group: P4/mmm (123)
Total DFT energy (no corrections), eV for the cell shown: -20.142
V, Å³/atom: 27.0

---

Which value of total DFT energy (no corrections) does entry 6 give?
-20.142 eV for the cell shown

---

Look up the ρ of the fifth one.
8.70 Mg/m³

---

Among the records above, which one has the lowest V?
ErTiNiPd

---

Which of these has the highest total DFT energy (no corrections)?
number 3